(1)
A relaxed structure of Ag2C, computed with PBE.

As for the excess energy over the best structure of this formula in the dataset: 915.5 meV per atom. For the total magnetization, the calculation gives 0.0 μB per formula unit. The formation energy comes out at 1542 meV/atom. Its energy is -3.4335 eV per atom.

The space group is I4/mmm (No. 139) and the conventional cell measures 2.922, 2.922 and 9.989 Å, with angles of 90.00, 90.00 and 90.00 degrees. The asymmetric unit holds Ag at (0.000, 0.000, 0.141) and C at (0.000, 0.000, 0.500).

***

(2)
A relaxed structure of RbMnTl, computed with PBE.

As for the excess energy over the best structure of this formula in the dataset: 59.0 meV per atom. For the total magnetization, the calculation gives 4.1 μB per formula unit. The formation energy comes out at 427 meV/atom. Its energy is -3.7409 eV per atom.

The space group is Amm2 (No. 38) and the conventional cell measures 4.614, 20.229 and 4.701 Å, with angles of 90.00, 90.00 and 90.00 degrees. The asymmetric unit holds Rb at (0.000, 0.162, 0.000), Mn at (0.000, 0.000, 0.495), Mn at (0.500, 0.000, 0.001) and Tl at (0.500, 0.085, 0.501).

***

(3)
A relaxed structure of ThSc2Bi3, computed with PBE.

For the total magnetization, the calculation gives 0.0 μB per formula unit. The formation energy comes out at -589 meV/atom. Its energy is -5.8765 eV per atom.

The space group is I4/mmm (No. 139) and the conventional cell measures 4.442, 4.442 and 18.472 Å, with angles of 90.00, 90.00 and 90.00 degrees. The asymmetric unit holds Th at (0.000, 0.000, 0.000), Sc at (0.000, 0.000, 0.335), Bi at (0.000, 0.000, 0.174) and Bi at (0.000, 0.000, 0.500).

***

(4)
A relaxed structure of NaTl3As3, computed with PBE.

For the total magnetization, the calculation gives 0.0 μB per formula unit. The formation energy comes out at -71 meV/atom. Its energy is -3.2660 eV per atom.

The space group is R-3 (No. 148, hexagonal axes) and the conventional cell measures 9.1720, 9.1720 and 16.8550 Å, with angles of 90.00, 90.00 and 120.00 degrees. The asymmetric unit holds Na at (0.0000, 0.0000, 0.1287), Tl at (0.0842, 0.5396, 0.3332) and As at (0.0365, 0.5174, 0.1413).

***

(5)
A relaxed structure of Y2Hf3Ge4, computed with PBE.

For the total magnetization, the calculation gives 0.0 μB per formula unit. The formation energy comes out at -830 meV/atom. Its energy is -7.6364 eV per atom.

The space group is P2_1/c (No. 14) and the conventional cell measures 7.407, 7.390 and 7.217 Å, with angles of 90.00, 109.86 and 90.00 degrees. The asymmetric unit holds Y at (0.188, 0.172, 0.063), Hf at (0.252, 0.673, 0.248), Hf at (0.500, 0.000, 0.500), Ge at (0.085, 0.536, 0.853) and Ge at (0.489, 0.134, 0.862).

***

(6)
A relaxed structure of Na2HgSbH, computed with PBE.

As for the excess energy over the best structure of this formula in the dataset: 0.0 meV per atom. For the total magnetization, the calculation gives 0.0 μB per formula unit. Its energy is -2.2283 eV per atom.

The space group is P4/mmm (No. 123) and the conventional cell measures 4.440, 4.440 and 5.195 Å, with angles of 90.00, 90.00 and 90.00 degrees. The asymmetric unit holds Na at (0.000, 0.500, 0.000), Hg at (0.000, 0.000, 0.500), Sb at (0.500, 0.500, 0.500) and H at (0.000, 0.000, 0.000).

***

(7)
A relaxed structure of La8SiRu3Cl4, computed with PBE.

The calculation puts the raw formation energy at -102.60 kJ per mole of atoms. For the total magnetization, the calculation gives 0.0 μB per formula unit. Its energy is -6.0669 eV per atom.

The space group is R-3m (No. 166, hexagonal axes) and the conventional cell measures 8.4239, 8.4239 and 22.6020 Å, with angles of 90.00, 90.00 and 120.00 degrees. The asymmetric unit holds La at (0.0000, 0.0000, 0.2394), La at (0.0144, 0.5072, 0.7661), Si at (0.0000, 0.0000, 0.5000), Ru at (0.0000, 0.5000, 0.5000), Cl at (0.0000, 0.0000, 0.0000) and Cl at (0.0000, 0.5000, 0.0000).

***

(8)
A relaxed structure of NbPd2CI, computed with PBE.

The calculation puts the raw formation energy at 42.93 kJ per mole of atoms. For the total magnetization, the calculation gives 0.0 μB per formula unit. Its energy is -5.8009 eV per atom.

The space group is P4/mmm (No. 123) and the conventional cell measures 4.318, 4.318 and 4.416 Å, with angles of 90.00, 90.00 and 90.00 degrees. The asymmetric unit holds Nb at (0.000, 0.000, 0.000), Pd at (0.000, 0.500, 0.500), C at (0.000, 0.000, 0.500) and I at (0.500, 0.500, 0.000).

***

(9)
A relaxed structure of ZrTe2F2, computed with PBE.

As for the excess energy over the best structure of this formula in the dataset: 314.9 meV per atom. The calculation puts the raw formation energy at -72.71 kJ per mole of atoms. For the total magnetization, the calculation gives 0.7 μB per formula unit. Its energy is -4.4685 eV per atom.

The space group is P4/mbm (No. 127) and the conventional cell measures 7.909, 7.909 and 3.147 Å, with angles of 90.00, 90.00 and 90.00 degrees. The asymmetric unit holds Zr at (0.000, 0.000, 0.000), Te at (0.128, 0.372, 0.000) and F at (0.189, 0.689, 0.500).

***

(10)
A relaxed structure of Ce2ZnCo, computed with PBE.

As for the excess energy over the best structure of this formula in the dataset: 47.6 meV per atom. For the total magnetization, the calculation gives 0.0 μB per formula unit. The formation energy comes out at -164 meV/atom. Its energy is -5.2257 eV per atom.

The space group is P4/mmm (No. 123) and the conventional cell measures 3.547, 3.547 and 6.630 Å, with angles of 90.00, 90.00 and 90.00 degrees. The asymmetric unit holds Ce at (0.000, 0.000, 0.214), Zn at (0.500, 0.500, 0.500) and Co at (0.500, 0.500, 0.000).

***

(11)
A relaxed structure of Np2TaSi2Ru5, computed with PBE.

The calculation puts the raw formation energy at -35.13 kJ per mole of atoms. For the total magnetization, the calculation gives 7.1 μB per formula unit. Its energy is -9.8600 eV per atom.

The space group is P4/mbm (No. 127) and the conventional cell measures 10.217, 10.217 and 3.149 Å, with angles of 90.00, 90.00 and 90.00 degrees. The asymmetric unit holds Np at (0.175, 0.325, 0.000), Ta at (0.000, 0.000, 0.000), Si at (0.126, 0.626, 0.000), Ru at (0.000, 0.500, 0.500) and Ru at (0.064, 0.793, 0.500).

***

(12)
A relaxed structure of NdHoPu2As4, computed with PBE.

For the total magnetization, the calculation gives 9.9 μB per formula unit. The formation energy comes out at -1262 meV/atom. Its energy is -8.3381 eV per atom.

The space group is P2/m (No. 10) and the conventional cell measures 7.181, 4.168 and 7.217 Å, with angles of 90.00, 109.58 and 90.00 degrees. The asymmetric unit holds Nd at (0.000, 0.000, 0.000), Ho at (0.000, 0.500, 0.500), Pu at (0.500, 0.000, 0.500), Pu at (0.500, 0.500, 0.000), As at (0.255, 0.000, 0.746) and As at (0.259, 0.500, 0.258).

***

What did the eleventh record say?
A relaxed structure of Np2TaSi2Ru5, computed with PBE.

The calculation puts the raw formation energy at -35.13 kJ per mole of atoms. For the total magnetization, the calculation gives 7.1 μB per formula unit. Its energy is -9.8600 eV per atom.

The space group is P4/mbm (No. 127) and the conventional cell measures 10.217, 10.217 and 3.149 Å, with angles of 90.00, 90.00 and 90.00 degrees. The asymmetric unit holds Np at (0.175, 0.325, 0.000), Ta at (0.000, 0.000, 0.000), Si at (0.126, 0.626, 0.000), Ru at (0.000, 0.500, 0.500) and Ru at (0.064, 0.793, 0.500).

***

> Which of these has the highest energy?

Na2HgSbH